Arrangement A

## KYMo (PBEsol)

Data for an optimized crystal structure of KYMo.

a = 3.0487 Å, b = 3.0487 Å, c = 17.4928 Å
α = 90.00°, β = 90.00°, γ = 90.00°
Fractional positions:
K1 0.0000 0.0000 0.0000
K2 0.5000 0.5000 0.5000
Y1 0.0000 0.0000 0.2868
Y2 0.5000 0.5000 0.7868
Mo1 0.0000 0.0000 0.6676
Mo2 0.5000 0.5000 0.1676

Results
Mass density   4.575 g/cm³
SG   No. 107
Total moment   0.0 Bohr magnetons per cell



Arrangement B

## KYMo (PBEsol)

Data for an optimized crystal structure of KYMo.

a = 2.9724 Å, b = 4.4545 Å, c = 13.1258 Å
α = 90.00°, β = 90.00°, γ = 90.00°
Fractional positions:
K1 0.0000 0.0000 0.0000
K2 0.5000 0.5000 0.5000
Y1 0.0000 0.0000 0.7244
Y2 0.5000 0.5000 0.2244
Mo1 0.0000 0.0000 0.3063
Mo2 0.5000 0.5000 0.8063

Results
Mass density   4.279 g/cm³
SG   No. 44
Total moment   0.0 Bohr magnetons per cell



Top of the stability list: arrangement A, leading by 0.133 eV/atom.



Arrangement A

## KTePtN2 (PBEsol)

Data for an optimized crystal structure of KTePtN2.

a = 4.1824 Å, b = 4.1824 Å, c = 5.5677 Å
α = 90.00°, β = 90.00°, γ = 90.00°
Fractional positions:
K1 0.0000 0.0000 0.0000
Te1 0.5000 0.5000 0.0000
Pt1 0.5000 0.5000 0.5000
N1 0.0000 0.5000 0.5000
N2 0.5000 0.0000 0.5000

Results
Mass density   6.646 g/cm³
SG   No. 123
Total moment   3.4 Bohr magnetons per cell



Arrangement B

## KTePtN2 (PBEsol)

Data for an optimized crystal structure of KTePtN2.

a = 4.4421 Å, b = 4.4421 Å, c = 6.5949 Å
α = 90.00°, β = 90.00°, γ = 90.00°
Fractional positions:
K1 0.0000 0.0000 0.0000
Te1 0.0000 0.0000 0.5000
Pt1 0.5000 0.5000 0.5000
N1 0.0000 0.5000 0.0000
N2 0.5000 0.0000 0.0000

Results
Mass density   4.974 g/cm³
SG   No. 123
Total moment   5.8 Bohr magnetons per cell



Top of the stability list: arrangement A, leading by 1.452 eV/atom.



Arrangement A

## KReN2 (PBEsol)

Data for an optimized crystal structure of KReN2.

a = 7.6241 Å, b = 6.1587 Å, c = 12.1705 Å
α = 90.00°, β = 90.00°, γ = 90.00°
Fractional positions:
K1 0.1057 0.0491 0.2500
K2 0.1057 0.4509 0.7500
K3 0.3611 0.2500 0.0000
K4 0.3611 0.2500 0.5000
K5 0.6389 0.7500 0.0000
K6 0.6389 0.7500 0.5000
K7 0.8943 0.5491 0.2500
K8 0.8943 0.9509 0.7500
Re1 0.1366 0.7500 0.0000
Re2 0.1366 0.7500 0.5000
Re3 0.3941 0.6196 0.2500
Re4 0.3941 0.8804 0.7500
Re5 0.6059 0.1196 0.2500
Re6 0.6059 0.3804 0.7500
Re7 0.8634 0.2500 0.0000
Re8 0.8634 0.2500 0.5000
N1 0.0000 0.0000 0.0000
N2 0.0000 0.0000 0.5000
N3 0.0000 0.5000 0.0000
N4 0.0000 0.5000 0.5000
N5 0.2751 0.6989 0.1239
N6 0.2751 0.6989 0.3761
N7 0.2751 0.8011 0.6239
N8 0.2751 0.8011 0.8761
N9 0.4126 0.1880 0.7500
N10 0.4126 0.3120 0.2500
N11 0.5874 0.6880 0.7500
N12 0.5874 0.8120 0.2500
N13 0.7249 0.1989 0.1239
N14 0.7249 0.1989 0.3761
N15 0.7249 0.3011 0.6239
N16 0.7249 0.3011 0.8761

Results
Mass density   5.889 g/cm³
SG   No. 57
Total moment   0.0 Bohr magnetons per cell



Arrangement B

## KReN2 (PBEsol)

Data for an optimized crystal structure of KReN2.

a = 5.5309 Å, b = 5.5309 Å, c = 9.4253 Å
α = 90.00°, β = 90.00°, γ = 90.00°
Fractional positions:
K1 0.0000 0.0000 0.0000
K2 0.0000 0.5000 0.2500
K3 0.5000 0.0000 0.7500
K4 0.5000 0.5000 0.5000
Re1 0.0000 0.0000 0.5000
Re2 0.0000 0.5000 0.7500
Re3 0.5000 0.0000 0.2500
Re4 0.5000 0.5000 0.0000
N1 0.0792 0.2500 0.6250
N2 0.2500 0.5792 0.8750
N3 0.2500 0.9208 0.3750
N4 0.4208 0.2500 0.1250
N5 0.5792 0.7500 0.1250
N6 0.7500 0.0792 0.3750
N7 0.7500 0.4208 0.8750
N8 0.9208 0.7500 0.6250

Results
Mass density   5.836 g/cm³
SG   No. 122
Total moment   0.0 Bohr magnetons per cell



Top of the stability list: arrangement A, leading by 0.029 eV/atom.



Arrangement A

## KSiTe2N (PBEsol)

Data for an optimized crystal structure of KSiTe2N.

a = 5.8883 Å, b = 5.8883 Å, c = 4.6379 Å
α = 90.00°, β = 90.00°, γ = 90.00°
Fractional positions:
K1 0.0000 0.0000 0.0000
Si1 0.5000 0.5000 0.5000
Te1 0.0000 0.5000 0.0000
Te2 0.5000 0.0000 0.0000
N1 0.0000 0.0000 0.5000

Results
Mass density   3.474 g/cm³
SG   No. 123
Total moment   2.7 Bohr magnetons per cell



Arrangement B

## KSiTe2N (PBEsol)

Data for an optimized crystal structure of KSiTe2N.

a = 6.0393 Å, b = 6.0393 Å, c = 3.2399 Å
α = 90.00°, β = 90.00°, γ = 90.00°
Fractional positions:
K1 0.0000 0.0000 0.0000
Si1 0.5000 0.5000 0.5000
Te1 0.0000 0.5000 0.5000
Te2 0.5000 0.0000 0.5000
N1 0.5000 0.5000 0.0000

Results
Mass density   4.727 g/cm³
SG   No. 123
Total moment   0.0 Bohr magnetons per cell



Top of the stability list: arrangement B, leading by 1.966 eV/atom.



Arrangement A

## KNaSO4 (PBEsol)

Data for an optimized crystal structure of KNaSO4.

a = 5.5848 Å, b = 5.5848 Å, c = 7.1782 Å
α = 90.00°, β = 90.00°, γ = 120.00°
Fractional positions:
K1 0.0000 0.0000 0.0000
K2 0.3333 0.6667 0.3318
Na1 0.3333 0.6667 0.8328
Na2 0.6667 0.3333 0.6293
S1 0.0000 0.0000 0.5598
S2 0.6667 0.3333 0.1059
O1 0.0000 0.0000 0.3558
O2 0.1447 0.2893 0.6334
O3 0.1447 0.8553 0.6334
O4 0.5221 0.0443 0.0335
O5 0.5221 0.4779 0.0335
O6 0.6667 0.3333 0.3113
O7 0.7107 0.8553 0.6334
O8 0.9557 0.4779 0.0335

Results
Mass density   2.709 g/cm³
SG   No. 156
Total moment   0.0 Bohr magnetons per cell



Arrangement B

## KNaSO4 (PBEsol)

Data for an optimized crystal structure of KNaSO4.

a = 5.5876 Å, b = 5.5876 Å, c = 7.1626 Å
α = 90.00°, β = 90.00°, γ = 120.00°
Fractional positions:
K1 0.3333 0.6667 0.1649
K2 0.6667 0.3333 0.8351
Na1 0.0000 0.0000 0.0000
Na2 0.0000 0.0000 0.5000
S1 0.3333 0.6667 0.7185
S2 0.6667 0.3333 0.2815
O1 0.1884 0.3768 0.7921
O2 0.1884 0.8116 0.7921
O3 0.3333 0.6667 0.5145
O4 0.3768 0.1884 0.2079
O5 0.6232 0.8116 0.7921
O6 0.6667 0.3333 0.4855
O7 0.8116 0.1884 0.2079
O8 0.8116 0.6232 0.2079

Results
Mass density   2.712 g/cm³
SG   No. 164
Total moment   0.0 Bohr magnetons per cell



Top of the stability list: arrangement A, leading by 0.017 eV/atom.



Arrangement A

## K2Na2Pb (PBEsol)

Data for an optimized crystal structure of K2Na2Pb.

a = 8.2214 Å, b = 8.2214 Å, c = 6.0015 Å
α = 90.00°, β = 90.00°, γ = 90.00°
Fractional positions:
K1 0.1913 0.3087 0.0000
K2 0.3087 0.8087 0.0000
K3 0.6913 0.1913 0.0000
K4 0.8087 0.6913 0.0000
Na1 0.1506 0.6506 0.5000
Na2 0.3494 0.1506 0.5000
Na3 0.6506 0.8494 0.5000
Na4 0.8494 0.3494 0.5000
Pb1 0.0000 0.0000 0.5000
Pb2 0.5000 0.5000 0.5000

Results
Mass density   2.713 g/cm³
SG   No. 127
Total moment   0.0 Bohr magnetons per cell



Arrangement B

## K2Na2Pb (PBEsol)

Data for an optimized crystal structure of K2Na2Pb.

a = 4.4034 Å, b = 4.4034 Å, c = 22.0581 Å
α = 90.00°, β = 90.00°, γ = 90.00°
Fractional positions:
K1 0.0000 0.0000 0.0907
K2 0.0000 0.0000 0.9093
K3 0.5000 0.5000 0.4093
K4 0.5000 0.5000 0.5907
Na1 0.0000 0.5000 0.2500
Na2 0.0000 0.5000 0.7500
Na3 0.5000 0.0000 0.2500
Na4 0.5000 0.0000 0.7500
Pb1 0.0000 0.0000 0.5000
Pb2 0.5000 0.5000 0.0000

Results
Mass density   2.573 g/cm³
SG   No. 139
Total moment   0.0 Bohr magnetons per cell



Top of the stability list: arrangement A, leading by 0.110 eV/atom.



Arrangement A

## K2RbNa2 (PBEsol)

Data for an optimized crystal structure of K2RbNa2.

a = 11.4849 Å, b = 11.4849 Å, c = 4.4172 Å
α = 90.00°, β = 90.00°, γ = 90.00°
Fractional positions:
K1 0.1317 0.3683 0.0000
K2 0.3683 0.8683 0.0000
K3 0.6317 0.1317 0.0000
K4 0.8683 0.6317 0.0000
Rb1 0.0000 0.0000 0.0000
Rb2 0.5000 0.5000 0.0000
Na1 0.1651 0.6651 0.5000
Na2 0.3349 0.1651 0.5000
Na3 0.6651 0.8349 0.5000
Na4 0.8349 0.3349 0.5000

Results
Mass density   1.195 g/cm³
SG   No. 127
Total moment   0.0 Bohr magnetons per cell



Arrangement B

## K2RbNa2 (PBEsol)

Data for an optimized crystal structure of K2RbNa2.

a = 4.7942 Å, b = 4.7942 Å, c = 27.1265 Å
α = 90.00°, β = 90.00°, γ = 90.00°
Fractional positions:
K1 0.0000 0.0000 0.1266
K2 0.0000 0.0000 0.8734
K3 0.5000 0.5000 0.3734
K4 0.5000 0.5000 0.6266
Rb1 0.0000 0.0000 0.5000
Rb2 0.5000 0.5000 0.0000
Na1 0.0000 0.5000 0.2500
Na2 0.0000 0.5000 0.7500
Na3 0.5000 0.0000 0.2500
Na4 0.5000 0.0000 0.7500

Results
Mass density   1.117 g/cm³
SG   No. 139
Total moment   0.0 Bohr magnetons per cell



Top of the stability list: arrangement A, leading by 0.023 eV/atom.



Arrangement A

## KNa2Sb2 (PBEsol)

Data for an optimized crystal structure of KNa2Sb2.

a = 9.5786 Å, b = 9.5786 Å, c = 3.2201 Å
α = 90.00°, β = 90.00°, γ = 90.00°
Fractional positions:
K1 0.0000 0.0000 0.0000
K2 0.5000 0.5000 0.0000
Na1 0.1245 0.3755 0.5000
Na2 0.3755 0.8755 0.5000
Na3 0.6245 0.1245 0.5000
Na4 0.8755 0.6245 0.5000
Sb1 0.1697 0.6697 0.0000
Sb2 0.3303 0.1697 0.0000
Sb3 0.6697 0.8303 0.0000
Sb4 0.8303 0.3303 0.0000

Results
Mass density   3.694 g/cm³
SG   No. 127
Total moment   0.0 Bohr magnetons per cell



Arrangement B

## KNa2Sb2 (PBEsol)

Data for an optimized crystal structure of KNa2Sb2.

a = 5.0341 Å, b = 5.0341 Å, c = 13.0346 Å
α = 90.00°, β = 90.00°, γ = 90.00°
Fractional positions:
K1 0.0000 0.0000 0.0000
K2 0.5000 0.5000 0.5000
Na1 0.0000 0.5000 0.2500
Na2 0.0000 0.5000 0.7500
Na3 0.5000 0.0000 0.2500
Na4 0.5000 0.0000 0.7500
Sb1 0.0000 0.0000 0.3947
Sb2 0.0000 0.0000 0.6053
Sb3 0.5000 0.5000 0.1053
Sb4 0.5000 0.5000 0.8947

Results
Mass density   3.304 g/cm³
SG   No. 139
Total moment   0.0 Bohr magnetons per cell



Top of the stability list: arrangement B, leading by 0.022 eV/atom.